# 1
! Li2FeH6Os, optimized geometry, DFT PBE; values from VASP
&SYSTEM
  ibrav = 0, nat = 10, ntyp = 4
/
ATOMIC_SPECIES
Li 6.94 Li.upf
Fe 55.84 Fe.upf
H 1.01 H.upf
Os 190.23 Os.upf
CELL_PARAMETERS angstrom
0.000 3.321 3.321
3.321 0.000 3.321
3.321 3.321 0.000
ATOMIC_POSITIONS angstrom
Li 1.660 1.660 1.660
Li 4.981 4.981 4.981
Fe 0.000 0.000 0.000
H 3.321 3.321 1.624
H 3.321 1.624 3.321
H 5.018 3.321 3.321
H 1.624 3.321 3.321
H 3.321 5.018 3.321
H 3.321 3.321 5.018
Os 3.321 3.321 3.321
! uncorrected energy = -4.3852 eV/atom
! magnetic moment = 1.862 μB per cell
! space-group type = Fm-3m, No. 225

# 2
! NaTaGaIr, optimized geometry, DFT PBE; values from VASP
&SYSTEM
  ibrav = 0, nat = 4, ntyp = 4
/
ATOMIC_SPECIES
Na 22.99 Na.upf
Ta 180.95 Ta.upf
Ga 69.72 Ga.upf
Ir 192.22 Ir.upf
CELL_PARAMETERS angstrom
0.000 3.162 3.162
3.162 0.000 3.162
3.162 3.162 0.000
ATOMIC_POSITIONS angstrom
Na 0.000 0.000 0.000
Ta 1.581 1.581 1.581
Ga 4.743 4.743 4.743
Ir 3.162 3.162 3.162
! uncorrected energy = -6.3912 eV/atom
! magnetic moment = 0.001 μB per cell
! space-group type = F-43m, No. 216

# 3
! PdWAu, optimized geometry, DFT PBE; values from VASP
&SYSTEM
  ibrav = 0, nat = 3, ntyp = 3
/
ATOMIC_SPECIES
Pd 106.42 Pd.upf
W 183.84 W.upf
Au 196.97 Au.upf
CELL_PARAMETERS angstrom
0.000 3.073 3.073
3.073 0.000 3.073
3.073 3.073 0.000
ATOMIC_POSITIONS angstrom
Pd 0.000 0.000 0.000
W 4.609 4.609 4.609
Au 3.073 3.073 3.073
! uncorrected energy = -6.3549 eV/atom
! magnetic moment = 0.036 μB per cell
! space-group type = F-43m, No. 216
! formation enthalpy at 0 K = 0.78 eV/atom

# 4
! Lu2FeN, optimized geometry, DFT PBE; values from VASP
&SYSTEM
  ibrav = 0, nat = 24, ntyp = 3
/
ATOMIC_SPECIES
Lu 174.97 Lu.upf
Fe 55.84 Fe.upf
N 14.01 N.upf
CELL_PARAMETERS angstrom
4.926 -2.836 0.000
4.926 2.836 0.000
-3.390 0.000 14.091
ATOMIC_POSITIONS angstrom
Lu 2.422 2.376 8.648
Lu 2.345 2.376 12.488
Lu 2.444 0.462 1.279
Lu 2.413 0.490 5.766
Lu 0.749 -0.462 8.324
Lu 0.718 -0.490 12.812
Lu 5.745 0.490 1.279
Lu 5.713 0.462 5.767
Lu 4.050 -0.490 8.325
Lu 4.018 -0.462 12.812
Lu 4.117 -2.376 1.603
Lu 4.040 -2.376 5.443
Fe -0.161 0.908 10.563
Fe 1.534 -0.908 3.518
Fe 4.079 0.463 3.523
Fe 2.384 -0.463 10.568
Fe 4.929 0.908 10.573
Fe 6.624 -0.908 3.528
N 0.768 1.418 7.046
N 4.128 1.459 0.000
N 4.029 1.459 7.046
N 2.463 -1.418 0.000
N 2.433 -1.459 7.046
N 5.724 -1.459 0.000
! uncorrected energy = -7.1326 eV/atom
! magnetic moment = 7.725 μB per cell
! space-group type = C2/c, No. 15

# 5
! LuSbNO, optimized geometry, DFT PBE; values from VASP
&SYSTEM
  ibrav = 0, nat = 8, ntyp = 4
/
ATOMIC_SPECIES
Lu 174.97 Lu.upf
Sb 121.76 Sb.upf
N 14.01 N.upf
O 16.00 O.upf
CELL_PARAMETERS angstrom
4.361 0.000 0.000
0.000 4.361 0.000
0.000 0.000 7.663
ATOMIC_POSITIONS angstrom
Lu 1.090 1.090 0.682
Lu 3.270 3.270 6.981
Sb 1.090 3.270 3.831
Sb 3.270 1.090 3.831
N 1.090 1.090 2.830
N 3.270 3.270 4.832
O 1.090 3.270 0.000
O 3.270 1.090 0.000
! uncorrected energy = -6.6285 eV/atom
! magnetic moment = 0.000 μB per cell
! space-group type = P4/nmm, No. 129

# 6
! Y2Hg2Ge3, optimized geometry, DFT PBE; values from VASP
&SYSTEM
  ibrav = 0, nat = 7, ntyp = 3
/
ATOMIC_SPECIES
Y 88.91 Y.upf
Hg 200.59 Hg.upf
Ge 72.64 Ge.upf
CELL_PARAMETERS angstrom
2.231 1.288 9.876
-2.231 1.288 9.876
0.000 -2.576 9.876
ATOMIC_POSITIONS angstrom
Y 0.000 0.000 0.000
Y 0.000 0.000 14.132
Hg 0.000 0.000 5.765
Hg 0.000 0.000 22.233
Ge 0.000 0.000 11.155
Ge 0.000 0.000 17.851
Ge 0.000 0.000 26.654
! uncorrected energy = -4.2099 eV/atom
! magnetic moment = 0.004 μB per cell
! space-group type = R3m, No. 160

# 7
! TaFeAgB, optimized geometry, DFT PBE; values from VASP
&SYSTEM
  ibrav = 0, nat = 4, ntyp = 4
/
ATOMIC_SPECIES
Ta 180.95 Ta.upf
Fe 55.84 Fe.upf
Ag 107.87 Ag.upf
B 10.81 B.upf
CELL_PARAMETERS angstrom
0.000 3.001 3.001
3.001 0.000 3.001
3.001 3.001 0.000
ATOMIC_POSITIONS angstrom
Ta 0.000 0.000 0.000
Fe 3.001 3.001 3.001
Ag 4.501 4.501 4.501
B 1.500 1.500 1.500
! uncorrected energy = -6.7209 eV/atom
! magnetic moment = 2.066 μB per cell
! space-group type = F-43m, No. 216

# 8
! CsNaPdW, optimized geometry, DFT PBE; values from VASP
&SYSTEM
  ibrav = 0, nat = 4, ntyp = 4
/
ATOMIC_SPECIES
Cs 132.91 Cs.upf
Na 22.99 Na.upf
Pd 106.42 Pd.upf
W 183.84 W.upf
CELL_PARAMETERS angstrom
0.000 3.747 3.747
3.747 0.000 3.747
3.747 3.747 0.000
ATOMIC_POSITIONS angstrom
Cs 0.000 0.000 0.000
Na 5.621 5.621 5.621
Pd 1.874 1.874 1.874
W 3.747 3.747 3.747
! uncorrected energy = -3.5850 eV/atom
! magnetic moment = 4.202 μB per cell
! space-group type = F-43m, No. 216

# 9
! PmSiPt, optimized geometry, DFT PBE; values from VASP
&SYSTEM
  ibrav = 0, nat = 12, ntyp = 3
/
ATOMIC_SPECIES
Pm 145.00 Pm.upf
Si 28.09 Si.upf
Pt 195.08 Pt.upf
CELL_PARAMETERS angstrom
7.237 0.000 0.000
0.000 4.365 0.000
0.000 0.000 7.543
ATOMIC_POSITIONS angstrom
Pm 0.030 1.091 1.493
Pm 3.588 3.274 5.264
Pm 3.649 1.091 2.279
Pm 7.206 3.274 6.050
Si 1.331 1.091 4.420
Si 2.287 3.274 0.648
Si 4.950 1.091 6.895
Si 5.905 3.274 3.124
Pt 1.420 3.274 3.120
Pt 2.198 1.091 6.892
Pt 5.038 3.274 0.651
Pt 5.817 1.091 4.423
! uncorrected energy = -6.5217 eV/atom
! magnetic moment = 0.001 μB per cell
! space-group type = Pnma, No. 62

# 10
! K2LiAuF6, optimized geometry, DFT PBE; values from VASP
&SYSTEM
  ibrav = 0, nat = 10, ntyp = 4
/
ATOMIC_SPECIES
K 39.10 K.upf
Li 6.94 Li.upf
Au 196.97 Au.upf
F 19.00 F.upf
CELL_PARAMETERS angstrom
2.869 1.656 4.678
-2.869 1.656 4.678
0.000 -3.312 4.678
ATOMIC_POSITIONS angstrom
K 0.000 0.000 3.509
K 0.000 0.000 10.525
Li 0.000 0.000 0.000
Au 0.000 0.000 7.017
F 0.000 -1.724 5.793
F -1.493 0.862 5.793
F -1.493 -0.862 8.241
F 1.493 0.862 5.793
F 1.493 -0.862 8.241
F 0.000 1.724 8.241
! uncorrected energy = -3.9150 eV/atom
! space-group type = R-3m, No. 166

# 11
! NdLuMo, optimized geometry, DFT PBE; values from VASP
&SYSTEM
  ibrav = 0, nat = 3, ntyp = 3
/
ATOMIC_SPECIES
Nd 144.24 Nd.upf
Lu 174.97 Lu.upf
Mo 95.94 Mo.upf
CELL_PARAMETERS angstrom
0.000 3.475 3.475
3.475 0.000 3.475
3.475 3.475 0.000
ATOMIC_POSITIONS angstrom
Nd 0.000 0.000 0.000
Lu 5.213 5.213 5.213
Mo 3.475 3.475 3.475
! uncorrected energy = -5.5274 eV/atom
! magnetic moment = 1.778 μB per cell
! space-group type = F-43m, No. 216
! formation enthalpy at 0 K = 1.18 eV/atom

# 12
! LaTeAuO, optimized geometry, DFT PBE; values from VASP
&SYSTEM
  ibrav = 0, nat = 8, ntyp = 4
/
ATOMIC_SPECIES
La 138.91 La.upf
Te 127.60 Te.upf
Au 196.97 Au.upf
O 16.00 O.upf
CELL_PARAMETERS angstrom
10.352 0.000 0.000
0.000 2.973 2.991
0.000 -2.973 2.991
ATOMIC_POSITIONS angstrom
La 1.175 -1.487 2.991
La 9.177 1.487 2.991
Te 2.956 1.487 2.995
Te 7.396 -1.487 2.995
Au 5.176 0.000 0.005
Au 5.176 0.000 2.995
O 0.000 0.000 1.495
O 0.000 0.000 4.485
! uncorrected energy = -5.9351 eV/atom
! magnetic moment = 0.001 μB per cell
! space-group type = Aem2, No. 39

Q: The lowest uncorrected energy belongs to which entry?
A: Lu2FeN

Q: Which of these has the lowest uncorrected energy?
A: Lu2FeN